Entry 1:
TbNd2Dy4Er2 | Alexandria via LeMat-Bulk | PBE | relaxed; DFT formation energy = 0.0843 eV per atom
1.0
-6.522 0.965 1.785
-2.964 -1.545 9.286
4.454 4.662 -1.451
Tb Nd Dy Er
1 2 4 2
direct
0.000 0.000 0.000
0.271 0.659 0.604
0.729 0.341 0.396
0.741 0.886 0.204
0.619 0.761 0.506
0.259 0.114 0.796
0.381 0.239 0.494
0.823 0.444 0.036
0.177 0.556 0.964

Entry 2:
Tb2Nd4Dy2Er | Alexandria via LeMat-Bulk | PBE | relaxed; DFT formation energy = 0.0196 eV per atom
1.0
-4.168 -1.938 2.209
4.372 -6.091 -2.982
2.995 1.817 7.244
Tb Nd Dy Er
2 4 2 1
direct
0.889 0.777 0.330
0.111 0.223 0.670
0.778 0.555 0.668
0.222 0.445 0.332
0.554 0.109 0.331
0.446 0.891 0.669
0.333 0.666 0.000
0.667 0.334 0.000
0.000 0.000 0.000

Entry 3:
TbNd2Dy2Er2 | Alexandria via LeMat-Bulk | PBE | relaxed; DFT formation energy = 0.0851 eV per atom
1.0
3.517 0.000 0.000
-1.759 5.606 1.693
0.000 0.505 11.820
Tb Nd Dy Er
1 2 2 2
direct
0.000 0.000 0.500
0.671 0.341 0.916
0.329 0.659 0.084
0.450 0.900 0.769
0.550 0.100 0.231
0.774 0.548 0.364
0.226 0.452 0.636

Entry 4:
TbNdDyEr3 | Alexandria via LeMat-Bulk | PBE | relaxed; DFT formation energy = 0.1949 eV per atom
1.0
5.708 0.000 0.000
-2.854 9.188 1.544
0.000 -1.208 7.156
Tb Nd Dy Er
2 2 2 6
direct
0.352 0.703 0.961
0.648 0.297 0.039
0.040 0.081 0.251
0.960 0.919 0.749
0.649 0.297 0.460
0.351 0.703 0.540
0.830 0.659 0.251
0.783 0.566 0.750
0.476 0.953 0.251
0.217 0.434 0.250
0.524 0.047 0.749
0.170 0.341 0.749

Entry 5:
Tb2NdDyEr2 | Alexandria via LeMat-Bulk | PBE | relaxed; DFT formation energy = 0.2770 eV per atom
1.0
3.393 0.000 0.000
0.000 6.520 0.000
0.000 0.000 17.825
Tb Nd Dy Er
4 2 2 4
direct
0.500 0.277 0.313
0.000 0.777 0.187
0.500 0.723 0.687
0.000 0.223 0.813
0.000 0.000 0.000
0.500 0.500 0.500
0.500 0.500 0.000
0.000 0.000 0.500
0.500 0.780 0.352
0.500 0.220 0.648
0.000 0.720 0.852
0.000 0.280 0.148

Entry 6:
TbNd2Dy4Er | Alexandria via LeMat-Bulk | PBE | relaxed; DFT formation energy = 0.4231 eV per atom
1.0
-0.659 -9.299 -1.919
8.334 -1.741 4.253
-8.557 7.421 3.381
Tb Nd Dy Er
2 4 8 2
direct
0.500 0.500 0.500
0.000 0.000 0.000
0.500 0.000 0.000
0.500 0.000 0.500
0.000 0.000 0.500
0.500 0.500 0.000
0.246 0.751 0.998
0.749 0.254 0.502
0.251 0.746 0.498
0.754 0.249 0.002
0.751 0.745 0.995
0.755 0.749 0.505
0.245 0.251 0.495
0.249 0.255 0.005
0.000 0.500 0.000
0.000 0.500 0.500

Entry 7:
Tb4NdDy2Er2 | Alexandria via LeMat-Bulk | PBE | relaxed; DFT formation energy = 0.0022 eV per atom
1.0
3.589 0.000 0.000
-1.794 9.300 -0.503
0.000 -3.665 8.807
Tb Nd Dy Er
4 1 2 2
direct
0.814 0.629 0.666
0.186 0.371 0.334
0.519 0.037 0.335
0.481 0.963 0.665
0.000 0.000 0.000
0.852 0.703 0.332
0.148 0.297 0.668
0.332 0.664 0.999
0.668 0.336 0.001

Entry 8:
TbNd2Dy3Er6 | Alexandria via LeMat-Bulk | PBE | relaxed; DFT formation energy = 0.0190 eV per atom
1.0
-4.735 1.267 -3.711
-1.002 -2.615 5.473
0.929 10.894 4.227
Tb Nd Dy Er
1 2 3 6
direct
0.000 0.000 0.000
0.333 0.667 0.000
0.667 0.333 0.000
0.167 0.833 0.500
0.833 0.167 0.500
0.500 0.500 0.500
0.915 0.582 0.747
0.752 0.752 0.253
0.085 0.418 0.253
0.582 0.915 0.747
0.248 0.248 0.747
0.418 0.085 0.253